This record from the Alexandria database describes a geometry-optimized MoAs2HSe structure. The functional is PBE-GGA.

Lattice parameters (Å, degrees): 4.9145 4.9145 4.8868 90.00 90.00 90.00
With the nearest neighbours (Å) after each atom.
Fractional positions:
As (0.5000, 0.0000, 0.0000)  2 Mo 2.46
As (0.0000, 0.5000, 0.0000)  2 Mo 2.46
Mo (0.0000, 0.0000, 0.0000)  2 Se 2.44, 4 As 2.46
H (0.5000, 0.5000, 0.5000)  8 As 3.47, 4 Se 3.48
Se (0.0000, 0.0000, 0.5000)  2 Mo 2.44

Calculated values
energy above the most stable polymorph in this dataset	48	meV/atom



This record from the Alexandria database describes a geometry-optimized Th3Zn2Au6 structure. The functional is PBE-GGA.

Lattice parameters (Å, degrees): 4.3993 4.3993 13.0844 99.68 99.68 90.00
With the nearest neighbours (Å) after each atom.
Fractional positions:
Th (0.1958, 0.1958, 0.3916)  9 Au 3.05-3.23
Th (0.0000, 0.0000, 0.0000)  8 Zn 3.34, 8 Au 3.42
Th (0.8042, 0.8042, 0.6084)  9 Au 3.05-3.23
Au (0.1029, 0.6029, 0.2059)  2 Zn 2.61
Au (0.6843, 0.6843, 0.3687)  4 Au 3.02, 5 Th 3.05-3.12
Au (0.8971, 0.3971, 0.7941)  2 Zn 2.61
Au (0.3971, 0.8971, 0.7941)  2 Zn 2.61
Au (0.6029, 0.1029, 0.2059)  2 Zn 2.61
Au (0.3157, 0.3157, 0.6313)  4 Au 3.02, 5 Th 3.05-3.12
Zn (0.5476, 0.5476, 0.0952)  1 Zn 2.42, 4 Au 2.61
Zn (0.4524, 0.4524, 0.9048)  1 Zn 2.42, 4 Au 2.61

Calculated values
ΔH_f (0 K)	-0.47	eV per atom



This record from the Alexandria database describes a geometry-optimized ScCu2Au2 structure. The functional is PBE-GGA.

Lattice parameters (Å, degrees): 7.1998 7.1998 3.2929 90.00 90.00 90.00
With the nearest neighbours (Å) after each atom.
Fractional positions:
Cu (0.6626, 0.8374, 0.5000)  6 Au 2.62-2.72
Cu (0.8374, 0.3374, 0.5000)  6 Au 2.62-2.72
Cu (0.1626, 0.6626, 0.5000)  6 Au 2.62-2.72
Cu (0.3374, 0.1626, 0.5000)  6 Au 2.62-2.72
Au (0.8628, 0.6372, 0.0000)  6 Cu 2.62-2.72, 2 Sc 2.79, 1 Au 2.79
Au (0.3628, 0.8628, 0.0000)  6 Cu 2.62-2.72, 2 Sc 2.79, 1 Au 2.79
Au (0.6372, 0.1372, 0.0000)  6 Cu 2.62-2.72, 2 Sc 2.79, 1 Au 2.79
Au (0.1372, 0.3628, 0.0000)  6 Cu 2.62-2.72, 2 Sc 2.79, 1 Au 2.79
Sc (0.0000, 0.0000, 0.0000)  4 Au 2.79
Sc (0.5000, 0.5000, 0.0000)  4 Au 2.79

Calculated values
ΔH_f (0 K)	-0.19	eV per atom
energy above the most stable polymorph in this dataset	119	meV/atom



This record from the Alexandria database describes a geometry-optimized La2PmThBi4 structure. The functional is PBE-GGA.

Lattice parameters (Å, degrees): 4.6456 8.0278 8.0548 109.43 90.00 90.00
With the nearest neighbours (Å) after each atom.
Fractional positions:
Th (0.5000, 0.5000, 0.0000)  6 Bi 3.25-3.26
Bi (0.0000, 0.2517, 0.7560)  1 Pm 3.25, 2 Th 3.26, 3 La 3.31
Bi (0.0000, 0.7483, 0.2440)  1 Pm 3.25, 2 Th 3.26, 3 La 3.31
Bi (0.5000, 0.2482, 0.2437)  1 Th 3.25, 2 Pm 3.26, 3 La 3.31
Bi (0.5000, 0.7518, 0.7563)  1 Th 3.25, 2 Pm 3.26, 3 La 3.31
Pm (0.0000, 0.0000, 0.0000)  6 Bi 3.25-3.26
La (0.0000, 0.5000, 0.5000)  6 Bi 3.31
La (0.5000, 0.0000, 0.5000)  6 Bi 3.31

Calculated values
ΔH_f (0 K)	-0.93	eV per atom



This record from the Alexandria database describes a geometry-optimized FeOsW2 structure. The functional is PBE-GGA.

Lattice parameters (Å, degrees): 4.7288 4.7288 4.7186 80.09 80.09 34.19
With the nearest neighbours (Å) after each atom.
Fractional positions:
Fe (0.5047, 0.5047, 0.5120)  7 W 2.66-2.76, 3 Os 2.67-2.88, 2 Fe 2.78
W (0.7589, 0.7589, 0.7223)  3 Fe 2.66, 4 Os 2.67-2.81, 5 W 2.75-2.90
W (0.9945, 0.9945, 0.0204)  3 Os 2.64-2.72, 4 Fe 2.72-2.76, 5 W 2.75-2.90
Os (0.2419, 0.2419, 0.2453)  7 W 2.64-2.81, 3 Fe 2.67-2.88, 2 Os 2.78

Calculated values
ΔH_f (0 K)	0.18	eV per atom
energy above the most stable polymorph in this dataset	69	meV/atom



This record from the Alexandria database describes a geometry-optimized K2AcTc2N6 structure. The functional is PBE-GGA.

Lattice parameters (Å, degrees): 6.4228 6.4005 7.6118 117.64 90.00 120.12
With the nearest neighbours (Å) after each atom.
Fractional positions:
N (0.7237, 0.9097, 0.2195)  1 Tc 1.78
N (0.7748, 0.5495, 0.6434)  1 Tc 1.77
N (0.2252, 0.4505, 0.3566)  1 Tc 1.77
N (0.1860, 0.9097, 0.2195)  1 Tc 1.78
N (0.8140, 0.0903, 0.7805)  1 Tc 1.78
N (0.2763, 0.0903, 0.7805)  1 Tc 1.78
Ac (0.5000, 0.0000, 0.5000)  6 N 2.58-2.62
K (0.2954, 0.5907, 0.8275)  5 N 2.99-3.24
K (0.7046, 0.4093, 0.1725)  5 N 2.99-3.24
Tc (0.9645, 0.9291, 0.7993)  3 N 1.77-1.78
Tc (0.0355, 0.0709, 0.2007)  3 N 1.77-1.78

Calculated values
energy relative to the elements, uncorrected	-4.47	kcal/mol of atoms



This record from the Alexandria database describes a geometry-optimized Nd5BiPb2 structure. The functional is PBE-GGA.

Lattice parameters (Å, degrees): 8.5257 8.5257 9.3533 117.11 117.11 90.00
With the nearest neighbours (Å) after each atom.
Fractional positions:
Bi (0.7500, 0.7500, 0.5000)  10 Nd 3.51-3.58
Bi (0.2500, 0.2500, 0.5000)  10 Nd 3.51-3.58
Pb (0.6425, 0.1425, 0.0000)  8 Nd 3.23-3.35, 1 Pb 3.44
Pb (0.1425, 0.3575, 0.0000)  8 Nd 3.23-3.35, 1 Pb 3.44
Pb (0.3575, 0.8575, 0.0000)  8 Nd 3.23-3.35, 1 Pb 3.44
Pb (0.8575, 0.6425, 0.0000)  8 Nd 3.23-3.35, 1 Pb 3.44
Nd (0.1917, 0.0072, 0.6988)  3 Pb 3.23-3.35, 2 Bi 3.51, 1 Nd 3.61
Nd (0.5000, 0.5000, 0.0000)  4 Pb 3.28, 2 Bi 3.58
Nd (0.8083, 0.9928, 0.3012)  3 Pb 3.23-3.35, 2 Bi 3.51, 1 Nd 3.61
Nd (0.0000, 0.0000, 0.0000)  4 Pb 3.28, 2 Bi 3.58
Nd (0.3083, 0.8083, 0.3012)  3 Pb 3.23-3.35, 2 Bi 3.51, 1 Nd 3.61
Nd (0.6917, 0.1917, 0.6988)  3 Pb 3.23-3.35, 2 Bi 3.51, 1 Nd 3.61
Nd (0.0072, 0.5072, 0.6988)  3 Pb 3.23-3.35, 2 Bi 3.51, 1 Nd 3.61
Nd (0.4928, 0.3083, 0.3012)  3 Pb 3.23-3.35, 2 Bi 3.51, 1 Nd 3.61
Nd (0.5072, 0.6917, 0.6988)  3 Pb 3.23-3.35, 2 Bi 3.51, 1 Nd 3.61
Nd (0.9928, 0.4928, 0.3012)  3 Pb 3.23-3.35, 2 Bi 3.51, 1 Nd 3.61

Calculated values
ΔH_f (0 K)	-0.56	eV per atom



This record from the Alexandria database describes a geometry-optimized Mo2RuCl structure. The functional is PBE-GGA.

Lattice parameters (Å, degrees): 2.8455 2.8455 8.8716 90.00 90.00 118.72
With the nearest neighbours (Å) after each atom.
Fractional positions:
Ru (0.5000, 0.5000, 0.2500)  4 Mo 2.63, 6 Ru 2.85-2.90
Mo (0.0000, 0.0000, 0.0022)  2 Ru 2.63, 2 Cl 2.67, 6 Mo 2.85-2.90
Mo (0.0000, 0.0000, 0.4978)  2 Ru 2.63, 2 Cl 2.67, 6 Mo 2.85-2.90
Cl (0.5000, 0.5000, 0.7500)  4 Mo 2.67, 6 Cl 2.85-2.90

Calculated values
energy above the most stable polymorph in this dataset	278	meV/atom
energy relative to the elements, uncorrected	11.43	kcal/mol of atoms



This record from the Alexandria database describes a geometry-optimized Rb2MnInRh structure. The functional is PBE-GGA.

Lattice parameters (Å, degrees): 6.8144 4.9968 6.8144 90.00 90.00 90.00
With the nearest neighbours (Å) after each atom.
Fractional positions:
In (0.0000, 0.0000, 0.0000)  2 Rh 2.50
Rh (0.0000, 0.5000, 0.0000)  2 In 2.50
Mn (0.5000, 0.5000, 0.5000)  8 Rb 4.23
Rb (0.5000, 0.0000, 0.0000)  2 In 3.41
Rb (0.0000, 0.0000, 0.5000)  2 In 3.41

Calculated values
ΔH_f (0 K)	0.95	eV per atom



This record from the Alexandria database describes a geometry-optimized AlP2Pd structure. The functional is PBE-GGA.

Lattice parameters (Å, degrees): 5.2706 5.2706 6.8837 67.49 67.49 90.00
With the nearest neighbours (Å) after each atom.
Fractional positions:
Al (0.5000, 0.5000, 0.0000)  4 P 2.39
Al (0.2500, 0.7500, 0.5000)  4 P 2.39
P (0.6351, 0.1250, 0.2500)  2 Pd 2.33, 2 Al 2.39
P (0.1149, 0.6250, 0.2500)  2 Pd 2.33, 2 Al 2.39
P (0.8750, 0.8851, 0.7500)  2 Pd 2.33, 2 Al 2.39
P (0.3750, 0.3649, 0.7500)  2 Pd 2.33, 2 Al 2.39
Pd (0.0000, 0.0000, 0.0000)  4 P 2.33
Pd (0.7500, 0.2500, 0.5000)  4 P 2.33

Calculated values
ΔH_f (0 K)	-0.22	eV per atom



This record from the Alexandria database describes a geometry-optimized TbY3Se6 structure. The functional is PBE-GGA.

Lattice parameters (Å, degrees): 6.8519 7.5353 10.5542 90.00 89.81 90.00
With the nearest neighbours (Å) after each atom.
Fractional positions:
Tb (0.5000, 0.5000, 0.5000)  6 Se 2.79-2.90
Tb (0.0000, 0.0000, 0.0000)  6 Se 2.79-2.90
Se (0.1699, 0.3189, 0.4159)  1 Tb 2.79, 3 Y 2.81-3.07
Se (0.3292, 0.8192, 0.4153)  3 Y 2.78-3.06, 1 Tb 2.82
Se (0.8374, 0.9377, 0.2505)  3 Y 2.89-2.92, 1 Tb 2.90
Se (0.8301, 0.6811, 0.5841)  1 Tb 2.79, 3 Y 2.81-3.07
Se (0.8292, 0.6808, 0.9153)  3 Y 2.78-3.06, 1 Tb 2.82
Se (0.6708, 0.1808, 0.5847)  3 Y 2.78-3.06, 1 Tb 2.82
Se (0.1708, 0.3192, 0.0847)  3 Y 2.78-3.06, 1 Tb 2.82
Se (0.6699, 0.1811, 0.9159)  1 Tb 2.79, 3 Y 2.81-3.07
Se (0.1626, 0.0623, 0.7495)  3 Y 2.89-2.92, 1 Tb 2.90
Se (0.3374, 0.5623, 0.7505)  3 Y 2.89-2.92, 1 Tb 2.90
Se (0.3301, 0.8189, 0.0841)  1 Tb 2.79, 3 Y 2.81-3.07
Se (0.6626, 0.4377, 0.2495)  3 Y 2.89-2.92, 1 Tb 2.90
Y (0.9527, 0.3943, 0.7494)  6 Se 2.89-3.07
Y (0.5000, 0.5000, 0.0000)  6 Se 2.78-2.90
Y (0.5473, 0.8943, 0.7506)  6 Se 2.89-3.07
Y (0.4527, 0.1057, 0.2494)  6 Se 2.89-3.07
Y (0.0473, 0.6057, 0.2506)  6 Se 2.89-3.07
Y (0.0000, 0.0000, 0.5000)  6 Se 2.78-2.90

Calculated values
energy above the most stable polymorph in this dataset	46	meV/atom
energy relative to the elements, uncorrected	-42.20	kcal/mol of atoms



This record from the Alexandria database describes a geometry-optimized NaTmZnTe3 structure. The functional is PBE-GGA.

Lattice parameters (Å, degrees): 4.3190 8.9769 10.3959 106.21 90.00 90.00
With the nearest neighbours (Å) after each atom.
Fractional positions:
Na (0.2500, 0.1992, 0.2077)  5 Te 3.20-3.51
Na (0.7500, 0.8008, 0.7923)  5 Te 3.20-3.51
Tm (0.2500, 0.6738, 0.1468)  6 Te 3.03-3.17
Tm (0.7500, 0.3262, 0.8532)  6 Te 3.03-3.17
Te (0.7500, 0.2308, 0.5358)  3 Zn 2.72-2.77
Te (0.2500, 0.0846, 0.8556)  1 Zn 2.65
Te (0.2500, 0.7692, 0.4642)  3 Zn 2.72-2.77
Te (0.7500, 0.9154, 0.1444)  1 Zn 2.65
Te (0.2500, 0.5594, 0.8414)  3 Tm 3.03-3.05, 2 Na 3.20
Te (0.7500, 0.4406, 0.1586)  3 Tm 3.03-3.05, 2 Na 3.20
Zn (0.7500, 0.9175, 0.4002)  4 Te 2.65-2.77
Zn (0.2500, 0.0825, 0.5998)  4 Te 2.65-2.77

Calculated values
energy relative to the elements, uncorrected	-22.24	kcal/mol of atoms



This record from the Alexandria database describes a geometry-optimized Nb2CoSe structure. The functional is PBE-GGA.

Lattice parameters (Å, degrees): 5.8570 5.8570 6.5386 63.39 63.39 90.00
With the nearest neighbours (Å) after each atom.
Fractional positions:
Nb (0.1612, 0.6250, 0.2500)  2 Co 2.30, 2 Se 2.56
Nb (0.5888, 0.1250, 0.2500)  2 Co 2.30, 2 Se 2.56
Nb (0.3750, 0.4112, 0.7500)  2 Co 2.30, 2 Se 2.56
Nb (0.8750, 0.8388, 0.7500)  2 Co 2.30, 2 Se 2.56
Se (0.7500, 0.2500, 0.5000)  4 Nb 2.56
Se (0.0000, 0.0000, 0.0000)  4 Nb 2.56
Co (0.5000, 0.5000, 0.0000)  4 Nb 2.30
Co (0.2500, 0.7500, 0.5000)  4 Nb 2.30

Calculated values
energy relative to the elements, uncorrected	9.42	kcal/mol of atoms



This record from the Alexandria database describes a geometry-optimized LuHfCoRh structure. The functional is PBE-GGA.

Lattice parameters (Å, degrees): 4.6106 4.6106 4.6106 60.00 60.00 60.00
With the nearest neighbours (Å) after each atom.
Fractional positions:
Co (0.5000, 0.5000, 0.5000)  4 Lu 2.82, 4 Hf 2.82
Lu (0.2500, 0.2500, 0.2500)  4 Rh 2.82, 4 Co 2.82
Hf (0.7500, 0.7500, 0.7500)  4 Co 2.82, 4 Rh 2.82
Rh (0.0000, 0.0000, 0.0000)  4 Hf 2.82, 4 Lu 2.82

Calculated values
ΔH_f (0 K)	-0.61	eV per atom



Number 1: calculated density 4.583 g/cm3. Number 2: calculated density 13.560 g/cm3. Number 3: calculated density 11.012 g/cm3. Number 4: calculated density 8.738 g/cm3. Number 5: calculated density 17.474 g/cm3. Number 6: calculated density 4.254 g/cm3. Number 7: calculated density 8.591 g/cm3. Number 8: calculated density 8.657 g/cm3. Number 9: calculated density 3.175 g/cm3. Number 10: calculated density 4.035 g/cm3. Number 11: calculated density 5.481 g/cm3. Number 12: calculated density 5.493 g/cm3. Number 13: calculated density 6.194 g/cm3. Number 14: calculated density 12.347 g/cm3.